Entry 1:
Computed, not measured: PrSmFeC after structural relaxation at the PBE level of DFT.

```
PrSmFeC
1.0
3.817 0.000 0.000
0.000 3.817 0.000
0.000 0.000 11.176
Pr Sm Fe C
2 2 2 2
direct
0.250 0.750 0.000
0.750 0.250 0.000
0.250 0.250 0.307
0.750 0.750 0.693
0.250 0.750 0.500
0.750 0.250 0.500
0.250 0.250 0.571
0.750 0.750 0.429
```

Symmetry = P4/nmm (129)
Energy relative to the elements = 515 meV/atom
E = -50.248 eV/cell



Entry 2:
Computed, not measured: ScFeRu after structural relaxation at the PBE level of DFT.

```
ScFeRu
1.0
4.263 0.000 0.000
-2.131 3.692 0.000
0.000 0.000 2.988
Sc Fe Ru
1 1 1
direct
0.000 0.000 0.000
0.667 0.333 0.407
0.333 0.667 0.614
```

Symmetry = P3m1 (156)
Energy relative to the elements = -66 meV/atom
E = -24.269 eV/cell



Entry 3:
Computed, not measured: Hf5Ta2H12 after structural relaxation at the PBE level of DFT.

```
Hf5Ta2H12
1.0
5.163 -2.780 0.000
5.163 2.780 0.000
-1.425 0.000 6.370
Hf Ta H
5 2 12
direct
0.000 0.000 0.000
0.282 0.282 0.671
0.330 0.330 0.135
0.670 0.670 0.865
0.718 0.718 0.329
0.245 0.755 0.500
0.755 0.245 0.500
0.053 0.053 0.327
0.076 0.595 0.907
0.121 0.508 0.404
0.405 0.924 0.093
0.479 0.479 0.698
0.492 0.879 0.596
0.508 0.121 0.404
0.521 0.521 0.302
0.595 0.076 0.907
0.879 0.492 0.596
0.924 0.405 0.093
0.947 0.947 0.673
```

Symmetry = C2/m (12)
E = -117.810 eV/cell



Entry 4:
Computed, not measured: AlZnB2S after structural relaxation at the PBE level of DFT.

```
AlZnB2S
1.0
3.818 0.000 0.000
0.000 3.818 0.000
0.000 0.000 4.938
Al Zn B S
1 1 2 1
direct
0.000 0.000 0.000
0.500 0.500 0.000
0.000 0.500 0.500
0.500 0.000 0.500
0.000 0.000 0.500
```

Symmetry = P4/mmm (123)
Formation energy from raw total energies = 124 kJ/mol of atoms
E = -16.075 eV/cell
Energy above the lowest structure with this stoichiometry = 0.000 eV/atom



Entry 5:
Computed, not measured: Na3SbI after structural relaxation at the PBE level of DFT.

```
Na3SbI
1.0
5.943 0.000 0.000
0.000 5.943 0.000
0.000 0.000 5.943
Na Sb I
3 1 1
direct
0.000 0.000 0.500
0.000 0.500 0.000
0.500 0.000 0.000
0.000 0.000 0.000
0.500 0.500 0.500
```

Symmetry = Pm-3m (221)
Formation energy from raw total energies = -39 kJ/mol of atoms
E = -11.641 eV/cell
Energy above the lowest structure with this stoichiometry = 0.231 eV/atom



Entry 6:
Computed, not measured: Mg2GaOsSe after structural relaxation at the PBE level of DFT.

```
Mg2GaOsSe
1.0
5.151 0.000 0.000
0.000 5.151 0.000
0.000 0.000 4.597
Mg Ga Os Se
2 1 1 1
direct
0.000 0.500 0.000
0.500 0.000 0.000
0.000 0.000 0.500
0.500 0.500 0.000
0.500 0.500 0.500
```

Symmetry = P4/mmm (123)
Formation energy from raw total energies = 31 kJ/mol of atoms
E = -19.336 eV/cell



Entry 7:
Computed, not measured: Li2YW after structural relaxation at the PBE level of DFT.

```
Li2YW
1.0
6.595 0.000 0.000
0.000 6.595 0.000
0.000 0.000 6.595
Li Y W
8 4 4
direct
0.250 0.250 0.250
0.250 0.250 0.750
0.250 0.750 0.250
0.250 0.750 0.750
0.750 0.250 0.250
0.750 0.250 0.750
0.750 0.750 0.250
0.750 0.750 0.750
0.000 0.000 0.000
0.000 0.500 0.500
0.500 0.000 0.500
0.500 0.500 0.000
0.000 0.000 0.500
0.000 0.500 0.000
0.500 0.000 0.000
0.500 0.500 0.500
```

Symmetry = Fm-3m (225)
Energy relative to the elements = 729 meV/atom
E = -81.313 eV/cell
Energy above the lowest structure with this stoichiometry = 0.275 eV/atom



Entry 8:
Computed, not measured: Nd5Th12Cd3 after structural relaxation at the PBE level of DFT.

```
Nd5Th12Cd3
1.0
-9.054 9.054 9.054
9.054 -9.054 9.054
9.054 9.054 -9.054
Nd Th Cd
20 48 12
direct
0.000 0.000 0.000
0.000 0.000 0.500
0.000 0.500 0.000
0.000 0.500 0.500
0.125 0.750 0.875
0.125 0.875 0.250
0.250 0.125 0.875
0.250 0.625 0.375
0.375 0.250 0.625
0.375 0.625 0.750
0.500 0.000 0.000
0.500 0.000 0.500
0.500 0.500 0.000
0.500 0.500 0.500
0.625 0.375 0.250
0.625 0.750 0.375
0.750 0.375 0.625
0.750 0.875 0.125
0.875 0.125 0.750
0.875 0.250 0.125
0.063 0.231 0.146
0.063 0.332 0.917
0.083 0.646 0.415
0.083 0.937 0.668
0.085 0.731 0.668
0.085 0.854 0.417
0.146 0.063 0.231
0.146 0.583 0.915
0.168 0.231 0.585
0.168 0.437 0.583
0.231 0.146 0.063
0.231 0.585 0.168
0.269 0.332 0.915
0.269 0.437 0.354
0.332 0.915 0.269
0.332 0.917 0.063
0.354 0.269 0.437
0.354 0.585 0.917
0.415 0.083 0.646
0.415 0.832 0.769
0.417 0.085 0.854
0.417 0.832 0.563
0.437 0.354 0.269
0.437 0.583 0.168
0.563 0.417 0.832
0.563 0.646 0.731
0.583 0.168 0.437
0.583 0.915 0.146
0.585 0.168 0.231
0.585 0.917 0.354
0.646 0.415 0.083
0.646 0.731 0.563
0.668 0.083 0.937
0.668 0.085 0.731
0.731 0.563 0.646
0.731 0.668 0.085
0.769 0.415 0.832
0.769 0.854 0.937
0.832 0.563 0.417
0.832 0.769 0.415
0.854 0.417 0.085
0.854 0.937 0.769
0.915 0.146 0.583
0.915 0.269 0.332
0.917 0.063 0.332
0.917 0.354 0.585
0.937 0.668 0.083
0.937 0.769 0.854
0.125 0.250 0.375
0.125 0.375 0.750
0.250 0.375 0.125
0.250 0.875 0.625
0.375 0.125 0.250
0.375 0.750 0.125
0.625 0.250 0.875
0.625 0.875 0.750
0.750 0.125 0.375
0.750 0.625 0.875
0.875 0.625 0.250
0.875 0.750 0.625
```

Symmetry = Ia-3d (230)
Energy relative to the elements = 953 meV/atom
E = -386.244 eV/cell



Entry 9:
Computed, not measured: KReMo after structural relaxation at the PBE level of DFT.

```
KReMo
1.0
3.155 0.000 0.000
0.000 3.155 0.000
0.000 0.000 14.349
K Re Mo
2 2 2
direct
0.000 0.000 0.000
0.500 0.500 0.500
0.000 0.000 0.302
0.500 0.500 0.802
0.000 0.000 0.717
0.500 0.500 0.217
```

Symmetry = I4mm (107)
Energy relative to the elements = 938 meV/atom
E = -43.128 eV/cell
Energy above the lowest structure with this stoichiometry = 0.000 eV/atom



Entry 10:
Computed, not measured: CeCd7 after structural relaxation at the PBE level of DFT.

```
CeCd7
1.0
6.724 0.000 0.000
-3.362 5.823 0.000
0.000 0.000 4.994
Ce Cd
1 7
direct
0.000 0.000 0.000
0.333 0.667 0.500
0.346 0.173 0.500
0.504 0.009 0.000
0.504 0.496 0.000
0.827 0.173 0.500
0.827 0.654 0.500
0.991 0.496 0.000
```

Symmetry = P-6m2 (187)
Energy relative to the elements = -38 meV/atom
E = -12.646 eV/cell



Entry 11:
Computed, not measured: TbPr2TlC after structural relaxation at the PBE level of DFT.

```
TbPr2TlC
1.0
5.182 0.000 0.000
0.000 5.182 0.000
0.000 0.000 4.965
Tb Pr Tl C
1 2 1 1
direct
0.000 0.000 0.000
0.000 0.500 0.500
0.500 0.000 0.500
0.500 0.500 0.000
0.000 0.000 0.500
```

Symmetry = P4/mmm (123)
Energy relative to the elements = -297 meV/atom
E = -27.264 eV/cell



Entry 12:
Computed, not measured: PRu3 after structural relaxation at the PBE level of DFT.

```
PRu3
1.0
6.030 0.000 0.000
0.000 6.030 0.000
0.000 0.000 6.030
P Ru
4 12
direct
0.000 0.000 0.000
0.000 0.500 0.500
0.500 0.000 0.500
0.500 0.500 0.000
0.000 0.000 0.500
0.000 0.500 0.000
0.250 0.250 0.250
0.250 0.250 0.750
0.250 0.750 0.250
0.250 0.750 0.750
0.500 0.000 0.000
0.500 0.500 0.500
0.750 0.250 0.250
0.750 0.250 0.750
0.750 0.750 0.250
0.750 0.750 0.750
```

Symmetry = Fm-3m (225)
Energy relative to the elements = 273 meV/atom
E = -128.584 eV/cell
Energy above the lowest structure with this stoichiometry = 0.443 eV/atom



Entry 13:
Computed, not measured: La2SmPaN4 after structural relaxation at the PBE level of DFT.

```
La2SmPaN4
1.0
6.228 0.000 0.000
0.000 3.628 0.000
-2.068 0.000 6.009
La Sm Pa N
2 1 1 4
direct
0.000 0.000 0.000
0.500 0.500 0.000
0.000 0.500 0.500
0.500 0.000 0.500
0.264 0.000 0.721
0.278 0.500 0.287
0.722 0.500 0.713
0.736 0.000 0.279
```

Symmetry = P2/m (10)
Formation energy from raw total energies = -146 kJ/mol of atoms
E = -69.489 eV/cell



Entry 14:
Computed, not measured: ScCrNiRu2 after structural relaxation at the PBE level of DFT.

```
ScCrNiRu2
1.0
4.544 0.000 0.000
0.000 4.544 0.000
0.000 0.000 4.618
Sc Cr Ni Ru
1 1 1 2
direct
0.000 0.000 0.000
0.000 0.000 0.500
0.500 0.500 0.500
0.000 0.500 0.000
0.500 0.000 0.000
```

Symmetry = P4/mmm (123)
Energy relative to the elements = 1773 meV/atom
E = -31.423 eV/cell



Entry 15:
Computed, not measured: La7Al3Sn after structural relaxation at the PBE level of DFT.

```
La7Al3Sn
1.0
5.701 -5.908 0.000
5.701 5.908 0.000
-3.151 0.000 5.150
La Al Sn
7 3 1
direct
0.000 0.000 0.000
0.101 0.572 0.336
0.336 0.336 0.837
0.428 0.899 0.664
0.572 0.101 0.336
0.664 0.664 0.163
0.899 0.428 0.664
0.266 0.734 0.000
0.500 0.500 0.500
0.734 0.266 0.000
0.000 0.000 0.500
```

Symmetry = C2/m (12)
Energy relative to the elements = -258 meV/atom
E = -52.565 eV/cell



Entry 16:
Computed, not measured: CeCdSiAg after structural relaxation at the PBE level of DFT.

```
CeCdSiAg
1.0
7.011 0.000 0.000
0.000 7.011 0.000
0.000 0.000 7.011
Ce Cd Si Ag
4 4 4 4
direct
0.000 0.000 0.000
0.000 0.500 0.500
0.500 0.000 0.500
0.500 0.500 0.000
0.000 0.000 0.500
0.000 0.500 0.000
0.500 0.000 0.000
0.500 0.500 0.500
0.250 0.250 0.250
0.250 0.750 0.750
0.750 0.250 0.750
0.750 0.750 0.250
0.250 0.250 0.750
0.250 0.750 0.250
0.750 0.250 0.250
0.750 0.750 0.750
```

Symmetry = F-43m (216)
Formation energy from raw total energies = -17 kJ/mol of atoms
E = -63.352 eV/cell



Entry 17:
Computed, not measured: Pm5Bi4 after structural relaxation at the PBE level of DFT.

```
Pm5Bi4
1.0
-6.348 6.348 2.229
6.348 -6.348 2.229
6.348 6.348 -2.229
Pm Bi
5 4
direct
0.000 0.000 0.000
0.280 0.601 0.882
0.399 0.280 0.679
0.601 0.720 0.321
0.720 0.399 0.118
0.087 0.760 0.848
0.240 0.087 0.327
0.760 0.913 0.673
0.913 0.240 0.152
```

Symmetry = I4/m (87)
Energy relative to the elements = -678 meV/atom
E = -45.380 eV/cell



Entry 18:
Computed, not measured: TiNb2Ga after structural relaxation at the PBE level of DFT.

```
TiNb2Ga
1.0
3.919 0.000 0.000
0.000 3.919 0.000
0.000 0.000 4.446
Ti Nb Ga
1 2 1
direct
0.000 0.000 0.000
0.000 0.500 0.500
0.500 0.000 0.500
0.500 0.500 0.000
```

Symmetry = P4/mmm (123)
Energy relative to the elements = -247 meV/atom
E = -32.048 eV/cell



Entry 19:
Computed, not measured: Ba3MnN3 after structural relaxation at the PBE level of DFT.

```
Ba3MnN3
1.0
5.357 3.093 1.659
-5.357 3.093 1.659
0.000 -6.186 1.659
Ba Mn N
3 1 3
direct
0.179 0.179 0.641
0.179 0.641 0.179
0.641 0.179 0.179
0.849 0.849 0.849
0.048 0.765 0.765
0.765 0.048 0.765
0.765 0.765 0.048
```

Symmetry = R3m (160)
Formation energy from raw total energies = -35 kJ/mol of atoms
E = -42.468 eV/cell
Energy above the lowest structure with this stoichiometry = 0.291 eV/atom



Entry 20:
Computed, not measured: TlPbSe4 after structural relaxation at the PBE level of DFT.

```
TlPbSe4
1.0
0.000 4.233 4.233
4.233 0.000 4.233
4.233 4.233 0.000
Tl Pb Se
1 1 4
direct
0.000 0.000 0.000
0.750 0.750 0.750
0.375 0.375 0.375
0.375 0.375 0.875
0.375 0.875 0.375
0.875 0.375 0.375
```

Symmetry = F-43m (216)
Formation energy from raw total energies = 18 kJ/mol of atoms
E = -18.877 eV/cell